Material: Cr2FeSe
Method: DFT, PBE
State: optimized geometry Values from VASP.

Calculated values
ΔE_f (raw): 427 meV per atom
symmetry: R-3m, No. 166
total energy: -7.371 eV/atom

Cell and atoms, written as Quantum ESPRESSO input:
```
&SYSTEM
  ibrav = 0, nat = 4, ntyp = 3
/
ATOMIC_SPECIES
Cr 52.00 Cr.upf
Fe 55.84 Fe.upf
Se 78.96 Se.upf
CELL_PARAMETERS angstrom
1.392 0.803 7.664
-1.392 0.803 7.664
0.000 -1.607 7.664
ATOMIC_POSITIONS angstrom
Cr 0.000 0.000 5.727
Cr 0.000 0.000 17.263
Fe 0.000 0.000 11.495
Se 0.000 0.000 0.000
```

Material: CrFeSe
Method: DFT, PBE
State: optimized geometry Values from VASP.

Calculated values
ΔE_f (raw): 357 meV per atom
symmetry: P3m1, No. 156
total energy: -6.833 eV/atom

Cell and atoms, written as Quantum ESPRESSO input:
```
&SYSTEM
  ibrav = 0, nat = 3, ntyp = 3
/
ATOMIC_SPECIES
Cr 52.00 Cr.upf
Fe 55.84 Fe.upf
Se 78.96 Se.upf
CELL_PARAMETERS angstrom
2.940 0.000 0.000
-1.470 2.546 0.000
0.000 0.000 5.640
ATOMIC_POSITIONS angstrom
Cr 0.000 0.000 0.000
Fe 1.470 0.849 1.705
Se 0.000 1.697 3.834
```

Material: Cr2FeSe
Method: DFT, PBE
State: optimized geometry Values from VASP.

Calculated values
ΔE_f (raw): 329 meV per atom
symmetry: Fm-3m, No. 225
total energy: -7.470 eV/atom

Cell and atoms, written as Quantum ESPRESSO input:
```
&SYSTEM
  ibrav = 0, nat = 4, ntyp = 3
/
ATOMIC_SPECIES
Cr 52.00 Cr.upf
Fe 55.84 Fe.upf
Se 78.96 Se.upf
CELL_PARAMETERS angstrom
0.000 2.906 2.906
2.906 0.000 2.906
2.906 2.906 0.000
ATOMIC_POSITIONS angstrom
Cr 1.453 1.453 1.453
Cr 4.359 4.359 4.359
Fe 0.000 0.000 0.000
Se 2.906 2.906 2.906
```

| no. | energy above the most stable polymorph in this dataset (eV/atom) |
| --- | --- |
| 1 | 0.201 |
| 2 | 0.301 |
| 3 | 0.102 |